Material: HgPd8Pt2
Method: DFT, PBE
State: optimized geometry

CIF file:
```
data_HgPd8Pt2
_symmetry_space_group_name_H-M 'P -1'
_symmetry_Int_Tables_number 2
_symmetry_space_group_name_Hall '-P 1'
_cell_length_a 4.8677
_cell_length_b 4.8906
_cell_length_c 7.4687
_cell_angle_alpha 96.04
_cell_angle_beta 90.51
_cell_angle_gamma 99.54
loop_
_atom_site_label
_atom_site_type_symbol
_atom_site_fract_x
_atom_site_fract_y
_atom_site_fract_z
Hg1 Hg 0.0000 0.0000 0.0000
Pd1 Pd 0.0922 0.5491 0.1874
Pd2 Pd 0.1851 0.0952 0.3697
Pd3 Pd 0.3687 0.1796 0.7260
Pd4 Pd 0.4511 0.7205 0.9063
Pt1 Pt 0.2714 0.6331 0.5464
```

Computed properties:
- energy above the lowest structure with this stoichiometry (meV/atom) = 0
- crystal system = triclinic
- energy of formation from the pure elements (eV/atom) = -0.05
- raw total energy (eV/atom) = -4.95


Material: MgCu2PRh
Method: DFT, PBE
State: optimized geometry

CIF file:
```
data_MgCu2PRh
_symmetry_space_group_name_H-M 'P 4/m m m'
_symmetry_Int_Tables_number 123
_symmetry_space_group_name_Hall '-P 4 2'
_cell_length_a 4.4240
_cell_length_b 4.4240
_cell_length_c 4.5668
_cell_angle_alpha 90.00
_cell_angle_beta 90.00
_cell_angle_gamma 90.00
loop_
_atom_site_label
_atom_site_type_symbol
_atom_site_fract_x
_atom_site_fract_y
_atom_site_fract_z
Mg1 Mg 0.0000 0.0000 0.0000
Cu1 Cu 0.0000 0.5000 0.0000
P1 P 0.5000 0.5000 0.5000
Rh1 Rh 0.0000 0.0000 0.5000
```

Computed properties:
- crystal system = tetragonal
- energy of formation from the pure elements (eV/atom) = 1.14
- raw total energy (eV/atom) = -3.37


Material: Ho3NiPb
Method: DFT, PBE
State: optimized geometry

CIF file:
```
data_Ho3NiPb
_symmetry_space_group_name_H-M 'P m m n'
_symmetry_Int_Tables_number 59
_cell_length_a 4.7016
_cell_length_b 6.7036
_cell_length_c 8.3838
_cell_angle_alpha 90.00
_cell_angle_beta 90.00
_cell_angle_gamma 90.00
loop_
_symmetry_equiv_pos_as_xyz
'x,y,z'
'-x,-y,-z'
'-x+1/2,-y+1/2,z'
'x+1/2,y+1/2,-z'
'x+1/2,-y,-z'
'-x+1/2,y,z'
'-x,y+1/2,-z'
'x,-y+1/2,z'
loop_
_atom_site_label
_atom_site_type_symbol
_atom_site_fract_x
_atom_site_fract_y
_atom_site_fract_z
Ho1 Ho 0.2500 0.0019 0.1519
Ho2 Ho 0.2500 0.7500 0.5846
Ni1 Ni 0.2500 0.7500 0.9003
Pb1 Pb 0.2500 0.2500 0.6592
```

Computed properties:
- energy above the lowest structure with this stoichiometry (meV/atom) = 0
- crystal system = orthorhombic
- energy of formation from the pure elements (eV/atom) = -0.36
- raw total energy (eV/atom) = -5.01


Material: LiHRu3
Method: DFT, PBE
State: optimized geometry

CIF file:
```
data_LiHRu3
_symmetry_space_group_name_H-M 'P m -3 m'
_symmetry_Int_Tables_number 221
_symmetry_space_group_name_Hall '-P 4 2 3'
_cell_length_a 4.0730
_cell_length_b 4.0730
_cell_length_c 4.0730
_cell_angle_alpha 90.00
_cell_angle_beta 90.00
_cell_angle_gamma 90.00
loop_
_atom_site_label
_atom_site_type_symbol
_atom_site_fract_x
_atom_site_fract_y
_atom_site_fract_z
Li1 Li 0.0000 0.0000 0.0000
H1 H 0.5000 0.5000 0.5000
Ru1 Ru 0.0000 0.0000 0.5000
```

Computed properties:
- energy above the lowest structure with this stoichiometry (meV/atom) = 1583
- crystal system = cubic
- raw total energy (eV/atom) = -4.72